Record 1
K2TlHI: optimized geometry, PBE.

abc: 5.147 5.147 6.814
angles: 90.00 90.00 90.00
Element x y z (fractional)
K 0.000 0.500 0.000
K 0.500 0.000 0.000
Tl 0.000 0.000 0.500
H 0.500 0.500 0.000
I 0.500 0.500 0.500



Record 2
KY2HI: optimized geometry, PBE.

abc: 6.024 6.024 5.965
angles: 90.00 90.00 90.00
Element x y z (fractional)
K 0.000 0.000 0.000
Y 0.000 0.500 0.000
Y 0.500 0.000 0.000
H 0.500 0.500 0.500
I 0.000 0.000 0.500



Record 3
La2H2I: optimized geometry, PBE.

abc: 7.805 7.805 7.805
angles: 151.47 151.47 40.79
Element x y z (fractional)
La 0.153 0.153 0.000
La 0.847 0.847 0.000
H 0.250 0.750 0.500
H 0.750 0.250 0.500
I 0.500 0.500 0.000



Record 4
LaHI2: optimized geometry, PBE.

abc: 5.440 5.440 5.440
angles: 60.00 60.00 60.00
Element x y z (fractional)
La 0.000 0.000 0.000
H 0.500 0.500 0.500
I 0.250 0.250 0.250
I 0.750 0.750 0.750



Record 5
LaHI: optimized geometry, PBE.

abc: 5.635 7.980 7.025
angles: 90.00 114.79 90.00
Element x y z (fractional)
La 0.003 0.125 0.253
La 0.003 0.375 0.753
La 0.997 0.625 0.247
La 0.997 0.875 0.747
H 0.072 0.626 0.945
H 0.072 0.874 0.445
H 0.928 0.126 0.555
H 0.928 0.374 0.055
I 0.488 0.623 0.742
I 0.488 0.877 0.242
I 0.512 0.123 0.758
I 0.512 0.377 0.258



Record 6
La2HI3: optimized geometry, PBE.

abc: 9.883 9.883 12.382
angles: 119.94 119.94 24.78
Element x y z (fractional)
La 0.073 0.073 0.460
La 0.364 0.364 0.207
La 0.636 0.636 0.793
La 0.927 0.927 0.540
H 0.077 0.077 0.664
H 0.923 0.923 0.336
I 0.162 0.162 0.012
I 0.281 0.281 0.380
I 0.459 0.459 0.761
I 0.541 0.541 0.239
I 0.719 0.719 0.620
I 0.838 0.838 0.988



Record 7
La2HI: optimized geometry, PBE.

abc: 5.310 5.310 5.310
angles: 60.00 60.00 60.00
Element x y z (fractional)
La 0.250 0.250 0.250
La 0.750 0.750 0.750
H 0.000 0.000 0.000
I 0.500 0.500 0.500



Record 8
LaH2I2: optimized geometry, PBE.

abc: 5.561 5.561 5.561
angles: 119.40 119.40 91.04
Element x y z (fractional)
La 0.000 0.000 0.000
H 0.451 0.451 0.000
H 0.549 0.549 0.000
I 0.250 0.750 0.500
I 0.750 0.250 0.500



Record 9
LaH3I: optimized geometry, PBE.

abc: 4.306 4.306 4.306
angles: 90.00 90.00 90.00
Element x y z (fractional)
La 0.000 0.000 0.000
H 0.000 0.500 0.500
H 0.500 0.000 0.500
H 0.500 0.500 0.000
I 0.500 0.500 0.500



Record 10
La2HI: optimized geometry, PBE.

abc: 8.314 8.314 8.314
angles: 27.29 27.29 27.29
Element x y z (fractional)
La 0.000 0.000 0.000
La 0.211 0.211 0.211
H 0.605 0.605 0.605
I 0.773 0.773 0.773



Record 11
LaH2I2: optimized geometry, PBE.

abc: 6.938 6.938 4.518
angles: 90.00 90.00 90.00
Element x y z (fractional)
La 0.000 0.000 0.000
La 0.500 0.500 0.000
H 0.177 0.323 0.000
H 0.323 0.823 0.000
H 0.677 0.177 0.000
H 0.823 0.677 0.000
I 0.171 0.671 0.500
I 0.329 0.171 0.500
I 0.671 0.829 0.500
I 0.829 0.329 0.500



Record 12
LaHI: optimized geometry, PBE.

abc: 7.306 7.306 7.306
angles: 140.41 140.41 57.23
Element x y z (fractional)
La 0.163 0.163 0.000
La 0.837 0.837 0.000
H 0.250 0.750 0.500
H 0.750 0.250 0.500
I 0.000 0.500 0.500
I 0.500 0.000 0.500



Record 13
LaH2I2: optimized geometry, PBE.

abc: 7.145 7.145 8.439
angles: 99.87 99.87 102.46
Element x y z (fractional)
La 0.181 0.819 0.000
La 0.819 0.181 0.000
H 0.071 0.071 0.931
H 0.105 0.105 0.071
H 0.895 0.895 0.929
H 0.929 0.929 0.069
I 0.055 0.572 0.264
I 0.428 0.945 0.736
I 0.572 0.055 0.264
I 0.945 0.428 0.736



Record 14
La2HI: optimized geometry, PBE.

abc: 4.033 10.895 5.027
angles: 90.00 90.00 90.00
Element x y z (fractional)
La 0.000 0.070 0.000
La 0.000 0.705 0.024
La 0.500 0.295 0.524
La 0.500 0.930 0.500
H 0.000 0.881 0.757
H 0.500 0.119 0.257
I 0.000 0.381 0.024
I 0.500 0.619 0.524



Record 15
La2HI: optimized geometry, PBE.

abc: 8.310 8.310 8.310
angles: 27.13 27.13 27.13
Element x y z (fractional)
La 0.228 0.228 0.228
La 0.772 0.772 0.772
H 0.500 0.500 0.500
I 0.000 0.000 0.000



Record 16
LaH3I: optimized geometry, PBE.

abc: 4.465 4.465 4.465
angles: 90.00 90.00 90.00
Element x y z (fractional)
La 0.000 0.000 0.000
H 0.000 0.000 0.500
H 0.000 0.500 0.000
H 0.500 0.000 0.000
I 0.500 0.500 0.500



Record 17
La2H4I3: optimized geometry, PBE.

abc: 5.718 5.718 8.852
angles: 97.40 97.40 41.82
Element x y z (fractional)
La 0.197 0.197 0.298
La 0.803 0.803 0.702
H 0.238 0.238 0.564
H 0.394 0.394 0.765
H 0.606 0.606 0.235
H 0.762 0.762 0.436
I 0.121 0.121 0.871
I 0.500 0.500 0.500
I 0.879 0.879 0.129



Record 18
LaHI2: optimized geometry, PBE.

abc: 8.607 8.607 8.607
angles: 28.51 28.51 28.51
Element x y z (fractional)
La 0.000 0.000 0.000
H 0.667 0.667 0.667
I 0.245 0.245 0.245
I 0.421 0.421 0.421



Record 19
La3HI7: optimized geometry, PBE.

abc: 8.852 8.852 7.614
angles: 90.00 90.00 120.00
Element x y z (fractional)
La 0.018 0.509 0.000
La 0.491 0.509 0.000
La 0.491 0.982 0.000
H 0.333 0.667 0.063
I 0.165 0.330 0.746
I 0.165 0.835 0.746
I 0.333 0.167 0.241
I 0.667 0.333 0.756
I 0.670 0.835 0.746
I 0.833 0.167 0.241
I 0.833 0.667 0.241



Record 20
LaHI: optimized geometry, PBE.

abc: 6.094 6.094 6.094
angles: 144.73 144.73 50.73
Element x y z (fractional)
La 0.000 0.000 0.000
H 0.563 0.563 0.000
I 0.304 0.304 0.000



no.,VASP energy (eV for the cell shown)
1,-10.76
2,-12.34
3,-21.74
4,-13.98
5,-50.25
6,-49.79
7,-15.78
8,-18.19
9,-13.32
10,-17.47
11,-32.81
12,-23.67
13,-37.30
14,-35.01
15,-17.53
16,-17.34
17,-34.20
18,-16.63
19,-43.06
20,-12.01